[1]
A plane-wave DFT calculation with PBE-GGA was carried out for a relaxed Ba2LiSc crystal.

POSCAR file:
```
Ba2LiSc
1.0
-3.9215 -5.8351 0.1970
-0.2275 -7.0264 -0.2083
-0.0304 -2.1370 6.0039
Ba Li Sc
2 1 1
Direct
0.9790 0.9790 0.0579
0.7717 0.7717 0.6955
0.5309 0.5309 0.5109
0.2185 0.2185 0.2356
```

Output
Symmetry: Cm (8)
Distance to the lowest polymorph of the same formula: 0.055 eV per atom

***

[2]
A plane-wave DFT calculation with PBE-GGA was carried out for a relaxed BaLiSc4 crystal.

POSCAR file:
```
BaLiSc4
1.0
0.0000 4.5203 4.5203
4.5203 0.0000 4.5203
4.5203 4.5203 0.0000
Ba Li Sc
1 1 4
Direct
0.7500 0.7500 0.7500
0.0000 0.0000 0.0000
0.8806 0.3731 0.3731
0.3731 0.3731 0.8806
0.3731 0.8806 0.3731
0.3731 0.3731 0.3731
```

Output
Symmetry: F-43m (216)
Energy: -0.3253 Ry/atom

***

[3]
A plane-wave DFT calculation with PBE-GGA was carried out for a relaxed Ba2LiSc crystal.

POSCAR file:
```
Ba2LiSc
1.0
-2.9407 0.1104 2.7732
2.5750 -1.3989 2.7862
2.5004 9.1574 2.2869
Ba Li Sc
2 1 1
Direct
0.0000 0.0000 0.9484
0.5000 0.5000 0.3107
0.0000 0.0000 0.5529
0.5000 0.5000 0.6879
```

Output
Symmetry: P4mm (99)
Distance to the lowest polymorph of the same formula: 0.021 eV per atom

***

[4]
A plane-wave DFT calculation with PBE-GGA was carried out for a relaxed BaLiSc2 crystal.

POSCAR file:
```
BaLiSc2
1.0
6.4748 0.0035 -0.0016
2.8947 5.7917 0.0016
-3.9681 -4.0563 3.1183
Ba Li Sc
1 1 2
Direct
0.4788 0.4788 0.0000
0.2334 0.7334 0.5000
0.0174 0.0174 0.0000
0.7704 0.2704 0.5000
```

Output
Symmetry: Imm2 (44)
Distance to the lowest polymorph of the same formula: 0.144 eV per atom

***

[5]
A plane-wave DFT calculation with PBE-GGA was carried out for a relaxed BaLiSc2 crystal.

POSCAR file:
```
BaLiSc2
1.0
6.0603 0.0210 0.2046
5.0097 3.4104 0.2046
1.3910 0.4312 5.8657
Ba Li Sc
1 1 2
Direct
0.5175 0.5175 0.4499
0.2709 0.2709 0.2595
0.9856 0.9856 0.9590
0.7259 0.7259 0.8316
```

Output
Symmetry: Cm (8)
Distance to the lowest polymorph of the same formula: 0.119 eV per atom

***

[6]
A plane-wave DFT calculation with PBE-GGA was carried out for a relaxed BaLiSc crystal.

POSCAR file:
```
BaLiSc
1.0
5.4441 0.0000 0.0000
2.7221 4.7148 0.0000
2.7221 1.5716 4.4451
Ba Li Sc
1 1 1
Direct
0.5000 0.5000 0.5000
0.7500 0.7500 0.7500
0.0000 0.0000 0.0000
```

Output
Symmetry: F-43m (216)
Distance to the lowest polymorph of the same formula: 0.302 eV per atom

***

For reference, calculated density by record: 3.4; 2.9; 3.4; 3.3; 3.3; 2.8 g/cm³.